Here is a relaxed structure of Mg5Cd from the Alexandria database. Energies are from PBE.

The structure in POSCAR format:
```
Mg5Cd
1.0
4.324 -2.497 0.000
4.324 2.497 0.000
-0.005 0.000 6.218
Mg Cd
5 1
Direct
0.000 0.000 0.000
0.000 0.000 0.497
0.333 0.333 0.344
0.666 0.666 0.191
0.668 0.668 0.687
0.334 0.334 0.844
```

Computed properties:
formation energy = -18 meV/atom
DOS(E_F) = 2.0 states/eV per cell
space-group type = No. 8
VASP energy = -0.055 hartree per atom

***

Here is a relaxed structure of Mg13Cd3 from the Alexandria database. Energies are from PBE.

The structure in POSCAR format:
```
Mg13Cd3
1.0
8.583 0.000 0.000
0.000 4.541 4.608
0.000 -4.541 4.608
Mg Cd
13 3
Direct
0.000 0.000 0.000
0.000 0.001 0.497
0.000 0.497 0.001
0.000 0.500 0.500
0.253 0.244 0.753
0.253 0.753 0.244
0.255 0.746 0.746
0.500 0.005 0.487
0.500 0.487 0.005
0.500 0.495 0.495
0.745 0.746 0.746
0.747 0.244 0.753
0.747 0.753 0.244
0.247 0.253 0.253
0.500 0.990 0.990
0.753 0.253 0.253
```

Computed properties:
formation energy = -42 meV/atom
DOS(E_F) = 5.1 states/eV per cell
space-group type = No. 38
VASP energy = -0.055 hartree per atom

***

Here is a relaxed structure of Mg3Cd8 from the Alexandria database. Energies are from PBE.

The structure in POSCAR format:
```
Mg3Cd8
1.0
5.109 -2.235 0.000
5.109 2.235 0.000
-3.137 0.000 10.665
Mg Cd
3 8
Direct
0.000 0.000 0.000
0.093 0.093 0.640
0.907 0.907 0.360
0.181 0.181 0.273
0.274 0.274 0.909
0.367 0.367 0.542
0.454 0.454 0.181
0.546 0.546 0.819
0.633 0.633 0.458
0.726 0.726 0.091
0.819 0.819 0.727
```

Computed properties:
formation energy = -48 meV/atom
DOS(E_F) = 4.6 states/eV per cell
relative energy among the computed polymorphs = 0.00 eV/f.u.
space-group type = No. 12
VASP energy = -0.042 hartree per atom

***

Here is a relaxed structure of MgCd from the Alexandria database. Energies are from PBE.

The structure in POSCAR format:
```
MgCd
1.0
5.944 -1.572 0.000
5.944 1.572 0.000
-1.877 0.000 7.047
Mg Cd
3 3
Direct
0.000 0.000 0.000
0.056 0.056 0.606
0.376 0.376 0.268
0.340 0.340 0.664
0.656 0.656 0.330
0.720 0.720 0.937
```

Computed properties:
formation energy = -76 meV/atom
DOS(E_F) = 1.3 states/eV per cell
space-group type = No. 8
VASP energy = -0.049 hartree per atom

***

Here is a relaxed structure of MgCd3 from the Alexandria database. Energies are from PBE.

The structure in POSCAR format:
```
MgCd3
1.0
4.458 0.000 0.000
0.000 4.458 0.000
0.000 0.000 4.458
Mg Cd
1 3
Direct
0.000 0.000 0.000
0.000 0.500 0.500
0.500 0.000 0.500
0.500 0.500 0.000
```

Computed properties:
formation energy = -58 meV/atom
DOS(E_F) = 1.4 states/eV per cell
relative energy among the computed polymorphs = 0.05 eV/f.u.
space-group type = No. 221
VASP energy = -0.042 hartree per atom

***

Here is a relaxed structure of Mg2Cd from the Alexandria database. Energies are from PBE.

The structure in POSCAR format:
```
Mg2Cd
1.0
3.199 0.000 0.000
-1.600 2.771 0.000
0.000 0.000 15.102
Mg Cd
4 2
Direct
0.333 0.667 0.085
0.333 0.667 0.415
0.667 0.333 0.585
0.667 0.333 0.915
0.333 0.667 0.750
0.667 0.333 0.250
```

Computed properties:
formation energy = -40 meV/atom
DOS(E_F) = 2.5 states/eV per cell
space-group type = No. 194
VASP energy = -0.052 hartree per atom

***

Here is a relaxed structure of Mg2Cd from the Alexandria database. Energies are from PBE.

The structure in POSCAR format:
```
Mg2Cd
1.0
5.495 0.000 0.000
-2.747 4.758 0.000
0.000 0.000 5.029
Mg Cd
4 2
Direct
0.000 0.000 0.000
0.000 0.661 0.500
0.339 0.339 0.500
0.661 0.000 0.500
0.333 0.667 0.000
0.667 0.333 0.000
```

Computed properties:
formation energy = -64 meV/atom
DOS(E_F) = 1.0 states/eV per cell
space-group type = No. 189
VASP energy = -0.053 hartree per atom

***

Here is a relaxed structure of MgCd from the Alexandria database. Energies are from PBE.

The structure in POSCAR format:
```
MgCd
1.0
2.488 1.436 4.077
-2.488 1.436 4.077
0.000 -2.873 4.077
Mg Cd
2 2
Direct
0.125 0.125 0.125
0.875 0.875 0.875
0.375 0.375 0.375
0.625 0.625 0.625
```

Computed properties:
formation energy = -25 meV/atom
DOS(E_F) = 1.8 states/eV per cell
space-group type = No. 166
VASP energy = -0.047 hartree per atom

***

Here is a relaxed structure of MgCd5 from the Alexandria database. Energies are from PBE.

The structure in POSCAR format:
```
MgCd5
1.0
5.323 0.000 0.000
-2.661 4.609 0.000
0.000 0.000 5.396
Mg Cd
1 5
Direct
0.000 0.000 0.000
0.000 0.667 0.500
0.333 0.333 0.500
0.333 0.667 0.000
0.667 0.000 0.500
0.667 0.333 0.000
```

Computed properties:
formation energy = -34 meV/atom
DOS(E_F) = 1.4 states/eV per cell
space-group type = No. 189
VASP energy = -0.039 hartree per atom

***

Here is a relaxed structure of Mg3Cd5 from the Alexandria database. Energies are from PBE.

The structure in POSCAR format:
```
Mg3Cd5
1.0
2.795 -8.125 0.000
2.795 8.125 0.000
-2.489 0.000 7.957
Mg Cd
6 10
Direct
0.181 0.819 0.000
0.263 0.737 0.500
0.373 0.373 0.645
0.627 0.627 0.355
0.737 0.263 0.500
0.819 0.181 0.000
0.035 0.230 0.335
0.230 0.035 0.335
0.240 0.240 0.981
0.244 0.572 0.806
0.428 0.756 0.194
0.572 0.244 0.806
0.756 0.428 0.194
0.760 0.760 0.019
0.770 0.965 0.665
0.965 0.770 0.665
```

Computed properties:
formation energy = -18 meV/atom
DOS(E_F) = 5.6 states/eV per cell
relative energy among the computed polymorphs = 0.50 eV/f.u.
space-group type = No. 12
VASP energy = -0.044 hartree per atom

***

Here is a relaxed structure of Mg2Cd from the Alexandria database. Energies are from PBE.

The structure in POSCAR format:
```
Mg2Cd
1.0
-1.517 2.254 10.678
1.517 -2.254 10.678
1.517 2.254 -10.678
Mg Cd
4 2
Direct
0.294 0.044 0.250
0.437 0.187 0.250
0.563 0.813 0.750
0.706 0.956 0.750
0.140 0.390 0.750
0.860 0.610 0.250
```

Computed properties:
formation energy = 49 meV/atom
DOS(E_F) = 1.6 states/eV per cell
space-group type = No. 74
VASP energy = -0.048 hartree per atom

***

Here is a relaxed structure of MgCd from the Alexandria database. Energies are from PBE.

The structure in POSCAR format:
```
MgCd
1.0
5.670 -1.608 0.000
5.670 1.608 0.000
-2.217 0.000 4.787
Mg Cd
2 2
Direct
0.122 0.122 0.295
0.878 0.878 0.705
0.374 0.374 0.208
0.626 0.626 0.792
```

Computed properties:
formation energy = -86 meV/atom
DOS(E_F) = 1.2 states/eV per cell
space-group type = No. 12
VASP energy = -0.049 hartree per atom

***

Here is a relaxed structure of MgCd from the Alexandria database. Energies are from PBE.

The structure in POSCAR format:
```
MgCd
1.0
5.280 0.000 0.000
0.000 6.450 0.000
0.000 0.000 10.317
Mg Cd
8 8
Direct
0.008 0.129 0.246
0.165 0.384 0.506
0.335 0.616 0.006
0.492 0.871 0.746
0.508 0.371 0.754
0.665 0.116 0.494
0.835 0.884 0.994
0.992 0.629 0.254
0.004 0.622 0.760
0.171 0.881 0.491
0.329 0.119 0.991
0.496 0.378 0.260
0.504 0.878 0.240
0.671 0.619 0.509
0.829 0.381 0.009
0.996 0.122 0.740
```

Computed properties:
formation energy = -79 meV/atom
DOS(E_F) = 5.9 states/eV per cell
space-group type = No. 19
VASP energy = -0.049 hartree per atom

***

Here is a relaxed structure of Mg5Cd4 from the Alexandria database. Energies are from PBE.

The structure in POSCAR format:
```
Mg5Cd4
1.0
8.655 0.000 0.000
-4.327 7.495 0.000
0.000 0.000 6.127
Mg Cd
10 8
Direct
0.000 0.308 0.250
0.000 0.692 0.750
0.308 0.000 0.250
0.308 0.308 0.750
0.333 0.667 0.000
0.333 0.667 0.500
0.667 0.333 0.000
0.667 0.333 0.500
0.692 0.000 0.750
0.692 0.692 0.250
0.000 0.000 0.000
0.000 0.000 0.500
0.000 0.361 0.750
0.000 0.639 0.250
0.361 0.000 0.750
0.361 0.361 0.250
0.639 0.000 0.250
0.639 0.639 0.750
```

Computed properties:
formation energy = -61 meV/atom
DOS(E_F) = 8.4 states/eV per cell
relative energy among the computed polymorphs = 0.15 eV/f.u.
space-group type = No. 193
VASP energy = -0.050 hartree per atom

***

Here is a relaxed structure of MgCd from the Alexandria database. Energies are from PBE.

The structure in POSCAR format:
```
MgCd
1.0
4.315 0.000 0.000
-0.048 4.429 0.000
-2.089 -2.115 4.603
Mg Cd
2 2
Direct
0.125 0.373 0.248
0.875 0.627 0.752
0.374 0.127 0.750
0.626 0.873 0.250
```

Computed properties:
formation energy = -75 meV/atom
DOS(E_F) = 1.3 states/eV per cell
space-group type = No. 2
VASP energy = -0.049 hartree per atom

***

Here is a relaxed structure of Mg2Cd from the Alexandria database. Energies are from PBE.

The structure in POSCAR format:
```
Mg2Cd
1.0
5.987 -1.571 0.000
5.987 1.571 0.000
-1.853 0.000 7.041
Mg Cd
4 2
Direct
0.140 0.140 0.032
0.186 0.186 0.631
0.814 0.814 0.369
0.860 0.860 0.968
0.470 0.470 0.700
0.530 0.530 0.300
```

Computed properties:
formation energy = -75 meV/atom
DOS(E_F) = 1.0 states/eV per cell
space-group type = No. 12
VASP energy = -0.053 hartree per atom

***

Here is a relaxed structure of MgCd3 from the Alexandria database. Energies are from PBE.

The structure in POSCAR format:
```
MgCd3
1.0
3.173 0.000 0.000
0.000 4.411 0.000
0.000 0.000 6.335
Mg Cd
1 3
Direct
0.000 0.000 0.000
0.000 0.000 0.500
0.500 0.500 0.243
0.500 0.500 0.757
```

Computed properties:
formation energy = -43 meV/atom
DOS(E_F) = 1.6 states/eV per cell
relative energy among the computed polymorphs = 0.11 eV/f.u.
space-group type = No. 47
VASP energy = -0.041 hartree per atom

***

Here is a relaxed structure of Mg3Cd11 from the Alexandria database. Energies are from PBE.

The structure in POSCAR format:
```
Mg3Cd11
1.0
-2.345 5.739 6.012
2.345 -5.739 6.012
2.345 5.739 -6.012
Mg Cd
3 11
Direct
0.000 0.000 0.000
0.273 0.273 0.000
0.727 0.727 0.000
0.004 0.627 0.377
0.126 0.849 0.277
0.249 0.627 0.623
0.352 0.500 0.852
0.427 0.151 0.277
0.500 0.000 0.500
0.573 0.849 0.723
0.648 0.500 0.148
0.751 0.373 0.377
0.874 0.151 0.723
0.996 0.373 0.623
```

Computed properties:
formation energy = 2 meV/atom
DOS(E_F) = 5.3 states/eV per cell
space-group type = No. 71
VASP energy = -0.039 hartree per atom

***

Here is a relaxed structure of Mg5Cd from the Alexandria database. Energies are from PBE.

The structure in POSCAR format:
```
Mg5Cd
1.0
5.153 0.000 0.000
0.000 1.613 8.076
0.000 -1.613 8.076
Mg Cd
5 1
Direct
0.000 0.000 0.000
0.000 0.330 0.330
0.500 0.113 0.113
0.500 0.444 0.444
0.500 0.778 0.778
0.000 0.667 0.667
```

Computed properties:
formation energy = -31 meV/atom
DOS(E_F) = 2.1 states/eV per cell
space-group type = No. 38
VASP energy = -0.056 hartree per atom

***

Here is a relaxed structure of MgCd from the Alexandria database. Energies are from PBE.

The structure in POSCAR format:
```
MgCd
1.0
5.118 0.000 0.000
0.000 1.639 7.915
0.000 -1.639 7.915
Mg Cd
3 3
Direct
0.000 0.000 0.000
0.000 0.328 0.328
0.500 0.444 0.444
0.000 0.665 0.665
0.500 0.107 0.107
0.500 0.779 0.779
```

Computed properties:
formation energy = -46 meV/atom
DOS(E_F) = 2.9 states/eV per cell
space-group type = No. 38
VASP energy = -0.048 hartree per atom

***

Here is a relaxed structure of MgCd from the Alexandria database. Energies are from PBE.

The structure in POSCAR format:
```
MgCd
1.0
3.201 0.000 0.000
-1.601 2.772 0.000
0.000 0.000 10.086
Mg Cd
2 2
Direct
0.333 0.667 0.373
0.667 0.333 0.627
0.333 0.667 0.873
0.667 0.333 0.127
```

Computed properties:
formation energy = -30 meV/atom
DOS(E_F) = 1.4 states/eV per cell
space-group type = No. 164
VASP energy = -0.047 hartree per atom

***

Here is a relaxed structure of MgCd from the Alexandria database. Energies are from PBE.

The structure in POSCAR format:
```
MgCd
1.0
5.020 0.000 0.000
-2.510 4.347 0.000
0.000 0.000 5.749
Mg Cd
2 2
Direct
0.333 0.667 0.250
0.667 0.333 0.750
0.333 0.667 0.750
0.667 0.333 0.250
```

Computed properties:
formation energy = 295 meV/atom
DOS(E_F) = 2.5 states/eV per cell
space-group type = No. 194
VASP energy = -0.035 hartree per atom

***

Here is a relaxed structure of MgCd3 from the Alexandria database. Energies are from PBE.

The structure in POSCAR format:
```
MgCd3
1.0
-2.209 2.209 9.022
2.209 -2.209 9.022
2.209 2.209 -9.022
Mg Cd
2 6
Direct
0.124 0.124 0.000
0.876 0.876 0.000
0.000 0.500 0.500
0.250 0.750 0.500
0.374 0.374 0.000
0.500 0.000 0.500
0.626 0.626 0.000
0.750 0.250 0.500
```

Computed properties:
formation energy = -59 meV/atom
DOS(E_F) = 3.0 states/eV per cell
relative energy among the computed polymorphs = 0.05 eV/f.u.
space-group type = No. 139
VASP energy = -0.042 hartree per atom

***

Here is a relaxed structure of MgCd3 from the Alexandria database. Energies are from PBE.

The structure in POSCAR format:
```
MgCd3
1.0
3.249 0.000 0.000
0.000 5.069 0.000
0.000 0.000 5.351
Mg Cd
1 3
Direct
0.000 0.000 0.000
0.000 0.500 0.669
0.500 0.000 0.497
0.500 0.500 0.163
```

Computed properties:
formation energy = -51 meV/atom
DOS(E_F) = 1.1 states/eV per cell
relative energy among the computed polymorphs = 0.08 eV/f.u.
space-group type = No. 25
VASP energy = -0.042 hartree per atom

***

Here is a relaxed structure of Mg4Cd3 from the Alexandria database. Energies are from PBE.

The structure in POSCAR format:
```
Mg4Cd3
1.0
-1.896 1.896 10.784
1.896 -1.896 10.784
1.896 1.896 -10.784
Mg Cd
4 3
Direct
0.070 0.070 0.000
0.354 0.354 0.000
0.646 0.646 0.000
0.930 0.930 0.000
0.212 0.212 0.000
0.500 0.500 0.000
0.788 0.788 0.000
```

Computed properties:
formation energy = -55 meV/atom
DOS(E_F) = 2.4 states/eV per cell
relative energy among the computed polymorphs = 0.20 eV/f.u.
space-group type = No. 139
VASP energy = -0.050 hartree per atom